1.
Mg4Tl2Pb | PBE-GGA | relaxed

Structure (extended XYZ):
```
14
Lattice="-4.4833 4.4833 4.4932 4.4833 -4.4833 4.4932 4.4833 4.4833 -4.4932" Properties=species:S:1:pos:R:3 pbc="T T T"
Mg 3.7313 2.9800 -1.8579
Mg 5.9867 0.7520 0.3887
Mg 0.7520 2.9800 -0.3887
Mg 0.7520 1.5034 2.6353
Mg 1.5034 -0.7520 6.3511
Mg 3.7313 1.5034 4.1045
Mg 2.9800 5.2354 1.8579
Mg -1.5034 3.7313 4.8819
Tl 2.2417 -1.0955 3.3699
Tl 3.3878 2.2417 1.1233
Tl 2.2417 5.5788 -1.1233
Tl 1.0955 2.2417 5.6165
Pb 0.0000 0.0000 0.0000
Pb 0.0000 4.4833 2.2466
```

## Properties
* volume: 25.80 A^3/atom
* excess energy over the best structure of this formula in the dataset: 0 meV per atom
* energy of formation from the pure elements: -0.003 eV per atom
* spin magnetization: 0.00 μB/cell
* ρ: 6.56 Mg/m³



2.
SiTcOs2 | PBE-GGA | relaxed

Structure (extended XYZ):
```
4
Lattice="3.8467 0.0000 0.0000 0.0000 3.8467 0.0000 0.0000 0.0000 3.7993" Properties=species:S:1:pos:R:3 pbc="T T T"
Si 0.0000 0.0000 0.0000
Tc 1.9233 1.9233 0.0000
Os 0.0000 1.9233 1.8996
Os 1.9233 0.0000 1.8996
```

## Properties
* energy relative to the elements, uncorrected: 265 meV/atom
* volume: 14.05 A^3/atom
* spin magnetization: 0.01 μB/cell
* ρ: 14.96 Mg/m³



Which of these has the highest spin magnetization?
SiTcOs2